Entry 1:
Here is an optimized crystal structure of AsAu from Alexandria. Energies are from PBE.

Properties
The space-group type is No. 176. Its formation energy is 0.2 eV/f.u.

Unit cell a=9.019 b=9.019 c=4.679 alpha=90.00 beta=90.00 gamma=120.00
Sites, in units of the cell vectors:
Au  0.285  0.439  0.750
As  0.399  0.020  0.750
Au  0.154  0.715  0.750
Au  0.715  0.561  0.250
As  0.379  0.399  0.250
As  0.601  0.980  0.250
Au  0.561  0.846  0.750
Au  0.439  0.154  0.250
As  0.020  0.621  0.250
As  0.621  0.601  0.750
Au  0.846  0.285  0.250
As  0.980  0.379  0.750

Entry 2:
Here is an optimized crystal structure of AsAu2 from Alexandria. Energies are from PBE.

Properties
The space-group type is No. 194. Its formation energy is 0.3 eV/f.u.

Unit cell a=3.893 b=3.893 c=9.226 alpha=90.00 beta=90.00 gamma=120.00
Sites, in units of the cell vectors:
Au  0.667  0.333  0.412
Au  0.667  0.333  0.088
As  0.000  0.000  0.750
As  0.000  0.000  0.250
Au  0.333  0.667  0.912
Au  0.333  0.667  0.588

Entry 3:
Here is an optimized crystal structure of AsAu2 from Alexandria. Energies are from PBE.

Properties
The space-group type is No. 205. Its formation energy is 0.8 eV/f.u.

Unit cell a=6.357 b=6.357 c=6.357 alpha=90.00 beta=90.00 gamma=90.00
Sites, in units of the cell vectors:
As  0.500  0.000  0.500
As  0.000  0.500  0.500
Au  0.869  0.369  0.869
Au  0.131  0.869  0.631
Au  0.631  0.631  0.369
Au  0.369  0.131  0.131
As  0.000  0.000  0.000
Au  0.131  0.631  0.131
Au  0.369  0.369  0.631
As  0.500  0.500  0.000
Au  0.869  0.131  0.369
Au  0.631  0.869  0.869

Entry 4:
Here is an optimized crystal structure of AsAu from Alexandria. Energies are from PBE.

Properties
The space-group type is No. 129. Its formation energy is 0.4 eV/f.u.

Unit cell a=2.858 b=2.858 c=9.401 alpha=90.00 beta=90.00 gamma=90.00
Sites, in units of the cell vectors:
As  0.500  0.500  0.274
Au  0.000  0.000  0.504
Au  0.500  0.500  0.746
As  0.000  0.000  0.976

Entry 5:
Here is an optimized crystal structure of As3Au from Alexandria. Energies are from PBE.

Properties
The distance to the lowest polymorph of the same formula comes out at 0.037 eV per atom. The space-group type is No. 10. Its formation energy is 0.4 eV/f.u.

Unit cell a=3.809 b=2.765 c=8.122 alpha=70.86 beta=90.00 gamma=90.00
Sites, in units of the cell vectors:
As  0.000  0.509  0.002
Au  0.500  0.250  0.250
As  0.000  0.991  0.498
As  0.500  0.750  0.750

Entry 6:
Here is an optimized crystal structure of As5Au4 from Alexandria. Energies are from PBE.

Properties
The distance to the lowest polymorph of the same formula comes out at 0.031 eV per atom. The space-group type is No. 193. Its formation energy is 3.0 eV/f.u.

Unit cell a=8.271 b=8.271 c=5.807 alpha=90.00 beta=90.00 gamma=120.00
Sites, in units of the cell vectors:
Au  0.641  0.641  0.250
Au  0.641  0.000  0.750
As  0.667  0.333  0.500
As  0.301  0.000  0.750
As  0.667  0.333  0.000
As  0.699  0.000  0.250
As  0.699  0.699  0.750
As  0.333  0.667  0.000
Au  0.359  0.000  0.250
As  0.000  0.699  0.250
Au  0.000  0.000  0.000
As  0.333  0.667  0.500
As  0.000  0.301  0.750
Au  0.000  0.641  0.750
Au  0.000  0.359  0.250
Au  0.000  0.000  0.500
As  0.301  0.301  0.250
Au  0.359  0.359  0.750

Entry 7:
Here is an optimized crystal structure of BAsAu from Alexandria. Energies are from PBE.

Properties
The space-group type is No. 12. Its formation energy is 1.4 eV/f.u.

Unit cell a=4.299 b=2.985 c=9.069 alpha=99.47 beta=76.59 gamma=90.00
Sites, in units of the cell vectors:
Au  0.301  0.948  0.896
B  0.020  0.731  0.462
Au  0.699  0.052  0.104
As  0.118  0.135  0.270
B  0.980  0.269  0.538
As  0.882  0.865  0.730

Entry 8:
Here is an optimized crystal structure of BAsAu2 from Alexandria. Energies are from PBE.

Properties
The distance to the lowest polymorph of the same formula comes out at 0.430 eV per atom. The space-group type is No. 225. Its formation energy is 3.7 eV/f.u.

Unit cell a=4.521 b=4.521 c=4.521 alpha=60.00 beta=60.00 gamma=60.00
Sites, in units of the cell vectors:
Au  0.750  0.750  0.750
As  0.500  0.500  0.500
B  0.000  0.000  0.000
Au  0.250  0.250  0.250

Entry 9:
Here is an optimized crystal structure of B3AsAu from Alexandria. Energies are from PBE.

Properties
The distance to the lowest polymorph of the same formula comes out at 0.000 eV per atom. The space-group type is No. 221. Its formation energy is 9.0 eV/f.u.

Unit cell a=4.235 b=4.235 c=4.235 alpha=90.00 beta=90.00 gamma=90.00
Sites, in units of the cell vectors:
B  0.000  0.000  0.500
B  0.000  0.500  0.000
B  0.500  0.000  0.000
As  0.500  0.500  0.500
Au  0.000  0.000  0.000

Entry 10:
Here is an optimized crystal structure of BAsAu2 from Alexandria. Energies are from PBE.

Properties
The distance to the lowest polymorph of the same formula comes out at 0.000 eV per atom. The space-group type is No. 122. Its formation energy is 2.0 eV/f.u.

Unit cell a=4.879 b=4.879 c=7.282 alpha=70.43 beta=70.43 gamma=90.00
Sites, in units of the cell vectors:
Au  0.875  0.793  0.750
As  0.750  0.250  0.500
Au  0.207  0.625  0.250
Au  0.543  0.125  0.250
As  0.000  0.000  0.000
B  0.500  0.500  0.000
B  0.250  0.750  0.500
Au  0.375  0.457  0.750

Entry 11:
Here is an optimized crystal structure of B3AsAu from Alexandria. Energies are from PBE.

Properties
The distance to the lowest polymorph of the same formula comes out at 0.031 eV per atom. The space-group type is No. 221. Its formation energy is 9.2 eV/f.u.

Unit cell a=4.140 b=4.140 c=4.140 alpha=90.00 beta=90.00 gamma=90.00
Sites, in units of the cell vectors:
B  0.500  0.000  0.000
B  0.000  0.500  0.000
B  0.000  0.000  0.500
As  0.000  0.000  0.000
Au  0.500  0.500  0.500

Entry 12:
Here is an optimized crystal structure of BAs2Au from Alexandria. Energies are from PBE.

Properties
The space-group type is No. 122. Its formation energy is 0.7 eV/f.u.

Unit cell a=5.575 b=5.575 c=6.181 alpha=63.19 beta=63.19 gamma=90.00
Sites, in units of the cell vectors:
Au  0.000  0.000  0.000
As  0.375  0.441  0.750
Au  0.750  0.250  0.500
As  0.191  0.625  0.250
As  0.559  0.125  0.250
B  0.250  0.750  0.500
B  0.500  0.500  0.000
As  0.875  0.809  0.750

Entry 13:
Here is an optimized crystal structure of B2AsAu from Alexandria. Energies are from PBE.

Properties
The space-group type is No. 122. Its formation energy is 2.2 eV/f.u.

Unit cell a=5.053 b=5.053 c=5.831 alpha=64.33 beta=64.33 gamma=90.00
Sites, in units of the cell vectors:
B  0.875  0.855  0.750
Au  0.750  0.250  0.500
Au  0.000  0.000  0.000
B  0.605  0.125  0.250
As  0.500  0.500  0.000
B  0.145  0.625  0.250
B  0.375  0.395  0.750
As  0.250  0.750  0.500

Entry 14:
Here is an optimized crystal structure of BAs2AuC from Alexandria. Energies are from PBE.

Properties
The space-group type is No. 123. Its formation energy is 3.0 eV/f.u.

Unit cell a=5.163 b=2.865 c=5.163 alpha=90.00 beta=90.00 gamma=90.00
Sites, in units of the cell vectors:
B  0.000  0.500  0.000
As  0.000  0.000  0.500
Au  0.500  0.500  0.500
C  0.000  0.000  0.000
As  0.500  0.000  0.000

Entry 15:
Here is an optimized crystal structure of CdBAs2Au from Alexandria. Energies are from PBE.

Properties
The space-group type is No. 123. Its formation energy is 3.1 eV/f.u.

Unit cell a=4.642 b=4.337 c=4.642 alpha=90.00 beta=90.00 gamma=90.00
Sites, in units of the cell vectors:
Cd  0.500  0.500  0.500
As  0.000  0.000  0.500
Au  0.000  0.500  0.000
As  0.500  0.000  0.000
B  0.000  0.000  0.000

Entry 16:
Here is an optimized crystal structure of B2AsAuCl from Alexandria. Energies are from PBE.

Properties
The space-group type is No. 123. Its energy relative to the elements, uncorrected is 116.3 kJ/mol of atoms.

Unit cell a=4.058 b=6.408 c=4.058 alpha=90.00 beta=90.00 gamma=90.00
Sites, in units of the cell vectors:
B  0.500  0.000  0.000
Au  0.000  0.000  0.000
B  0.000  0.000  0.500
As  0.500  0.500  0.500
Cl  0.000  0.500  0.000

Entry 17:
Here is an optimized crystal structure of FeBAs2Au from Alexandria. Energies are from PBE.

Properties
The space-group type is No. 123. Its formation energy is 3.1 eV/f.u.

Unit cell a=4.455 b=3.898 c=4.455 alpha=90.00 beta=90.00 gamma=90.00
Sites, in units of the cell vectors:
Fe  0.000  0.500  0.000
B  0.000  0.000  0.000
As  0.000  0.000  0.500
Au  0.500  0.500  0.500
As  0.500  0.000  0.000

Entry 18:
Here is an optimized crystal structure of FeB2AsAu from Alexandria. Energies are from PBE.

Properties
The space-group type is No. 123. Its formation energy is 6.7 eV/f.u.

Unit cell a=3.960 b=5.368 c=3.960 alpha=90.00 beta=90.00 gamma=90.00
Sites, in units of the cell vectors:
B  0.000  0.000  0.500
B  0.500  0.000  0.000
Fe  0.000  0.500  0.000
As  0.500  0.500  0.500
Au  0.000  0.000  0.000

Entry 19:
Here is an optimized crystal structure of BAsAu2I from Alexandria. Energies are from PBE.

Properties
The distance to the lowest polymorph of the same formula comes out at 0.000 eV per atom. The space-group type is No. 123. Its energy relative to the elements, uncorrected is 63.9 kJ/mol of atoms.

Unit cell a=4.503 b=4.911 c=4.503 alpha=90.00 beta=90.00 gamma=90.00
Sites, in units of the cell vectors:
I  0.500  0.500  0.500
Au  0.500  0.000  0.000
As  0.000  0.500  0.000
Au  0.000  0.000  0.500
B  0.000  0.000  0.000

Entry 20:
Here is an optimized crystal structure of BAsAu2I from Alexandria. Energies are from PBE.

Properties
The distance to the lowest polymorph of the same formula comes out at 0.036 eV per atom. The space-group type is No. 123. Its energy relative to the elements, uncorrected is 67.5 kJ/mol of atoms.

Unit cell a=4.244 b=6.830 c=4.244 alpha=90.00 beta=90.00 gamma=90.00
Sites, in units of the cell vectors:
I  0.000  0.500  0.000
Au  0.000  0.000  0.500
Au  0.500  0.000  0.000
As  0.500  0.500  0.500
B  0.000  0.000  0.000

Results for calculated density: 8.22, 12.86, 12.12, 11.76, 8.67, 11.22, 8.41, 12.19, 6.65, 10.44, 7.12, 8.03, 8.29, 8.04, 8.35, 5.18, 8.87, 6.89, 10.11, 8.19 (in g cm⁻³, following the order of the records).